! LiNiIrPb | Alexandria via LeMat-Bulk | PBE | relaxed; values from VASP
! * raw total energy: -5.02 eV/atom
! * space-group type: F-43m (216)
! * crystal system: cubic
! * mass density: 12.36 g/cm3
&SYSTEM
  ibrav = 0, nat = 4, ntyp = 4
/
ATOMIC_SPECIES
Li 6.94 Li.upf
Ni 58.69 Ni.upf
Ir 192.22 Ir.upf
Pb 207.20 Pb.upf
ATOMIC_POSITIONS angstrom
Li 0.0000 0.0000 0.0000
Ni 4.7246 4.7246 4.7246
Ir 3.1497 3.1497 3.1497
Pb 1.5749 1.5749 1.5749
CELL_PARAMETERS angstrom
0.0000 3.1497 3.1497
3.1497 0.0000 3.1497
3.1497 3.1497 0.0000